# 1
Dy3Sc3In2Fe | PBE | relaxed

Lattice parameters (Å, degrees): 3.7685 8.2902 8.2902 120.00 90.00 90.00
Last column: nearest neighbours and their distance in Å.
Positions (direct):
1 Dy 0.0000 0.0000 0.3869  4 In 3.19, 1 Fe 3.21, 4 Sc 3.37
2 Dy 0.0000 0.6131 0.6131  4 In 3.19, 1 Fe 3.21, 4 Sc 3.37
3 Dy 0.0000 0.3869 0.0000  4 In 3.19, 1 Fe 3.21, 4 Sc 3.37
4 Sc 0.5000 0.7731 0.0000  2 Fe 2.66
5 Sc 0.5000 0.2269 0.2269  2 Fe 2.66
6 Sc 0.5000 0.0000 0.7731  2 Fe 2.66
7 In 0.5000 0.3333 0.6667  6 Dy 3.19, 3 Sc 3.29
8 In 0.5000 0.6667 0.3333  6 Dy 3.19, 3 Sc 3.29
9 Fe 0.0000 0.0000 0.0000  6 Sc 2.66

Values from the calculation:
DFT formation energy, kcal/mol of atoms: -6.1
Electronic total energy, eV per atom: -5.46
Crystal system: hexagonal



# 2
DyFe4Ir | PBE | relaxed

Lattice parameters (Å, degrees): 4.9676 4.9676 4.9676 60.00 60.00 60.00
Last column: nearest neighbours and their distance in Å.
Positions (direct):
1 Ir 0.0000 0.0000 0.0000  12 Fe 2.91, 4 Dy 3.04
2 Fe 0.6257 0.6257 0.1230  6 Fe 2.47-2.50
3 Fe 0.6257 0.1230 0.6257  6 Fe 2.47-2.50
4 Fe 0.6257 0.6257 0.6257  6 Fe 2.47-2.50
5 Fe 0.1230 0.6257 0.6257  6 Fe 2.47-2.50
6 Dy 0.2500 0.2500 0.2500  12 Fe 2.91, 4 Ir 3.04

Values from the calculation:
DFT formation energy, kcal/mol of atoms: -2.1
Electronic total energy, eV per atom: -7.98
Crystal system: cubic



# 3
Dy3FeIr8 | PBE | relaxed

Lattice parameters (Å, degrees): 5.3147 5.3147 9.1953 73.20 73.20 60.00
Last column: nearest neighbours and their distance in Å.
Positions (direct):
1 Dy 0.6236 0.6236 0.1293  12 Ir 3.12-3.14, 4 Dy 3.33-3.34
2 Dy 0.0069 0.0069 0.9792  12 Ir 3.02-3.33, 3 Dy 3.33, 1 Fe 3.36
3 Dy 0.4951 0.4951 0.5147  12 Ir 3.01-3.15, 3 Fe 3.14, 1 Dy 3.34
4 Fe 0.1363 0.1363 0.5910  6 Ir 2.80-3.07, 3 Dy 3.14
5 Ir 0.5617 0.0633 0.8134  6 Ir 2.62-2.68
6 Ir 0.0603 0.5592 0.3201  6 Ir 2.65-2.68, 1 Fe 2.80
7 Ir 0.5617 0.5617 0.8134  6 Ir 2.62-2.68
8 Ir 0.0603 0.0603 0.3201  6 Ir 2.65-2.68, 1 Fe 2.80
9 Ir 0.8105 0.8105 0.5684  6 Ir 2.62-2.65
10 Ir 0.3111 0.3111 0.0668  6 Ir 2.68
11 Ir 0.0633 0.5617 0.8134  6 Ir 2.62-2.68
12 Ir 0.5592 0.0603 0.3201  6 Ir 2.65-2.68, 1 Fe 2.80

Values from the calculation:
DFT formation energy, kcal/mol of atoms: -11.8
Electronic total energy, eV per atom: -8.28
Crystal system: trigonal



# 4
Dy2FeP3Ir4 | PBE | relaxed

Lattice parameters (Å, degrees): 4.0532 4.0532 9.9005 90.00 90.00 90.00
Last column: nearest neighbours and their distance in Å.
Positions (direct):
1 Dy 0.5000 0.0000 0.2530  6 P 3.08-3.18, 8 Ir 3.09-3.22, 2 Fe 3.18
2 Dy 0.0000 0.5000 0.7470  6 P 3.08-3.18, 8 Ir 3.09-3.22, 2 Fe 3.18
3 Fe 0.5000 0.5000 0.5000  4 Ir 2.41
4 P 0.0000 0.0000 0.5000  4 Ir 2.41
5 P 0.5000 0.0000 0.8616  5 Ir 2.28-2.45
6 P 0.0000 0.5000 0.1384  5 Ir 2.28-2.45
7 Ir 0.5000 0.5000 0.0000  4 P 2.45
8 Ir 0.0000 0.0000 0.0000  4 P 2.45
9 Ir 0.5000 0.0000 0.6313  3 P 2.28-2.41, 2 Fe 2.41
10 Ir 0.0000 0.5000 0.3687  3 P 2.28-2.41, 2 Fe 2.41

Values from the calculation:
DFT formation energy, kcal/mol of atoms: -20.6
Electronic total energy, eV per atom: -7.83
Crystal system: tetragonal



# 5
Dy2FeP4Ir3 | PBE | relaxed

Lattice parameters (Å, degrees): 4.1010 4.1010 9.4428 90.00 90.00 90.00
Last column: nearest neighbours and their distance in Å.
Positions (direct):
1 Dy 0.5000 0.0000 0.2456  8 P 3.10-3.13, 7 Ir 3.14-3.44, 2 Fe 3.16
2 Dy 0.0000 0.5000 0.7544  8 P 3.10-3.13, 7 Ir 3.14-3.44, 2 Fe 3.16
3 Fe 0.5000 0.5000 0.5000  4 P 2.39
4 P 0.5000 0.5000 0.0000  4 Ir 2.34
5 P 0.0000 0.0000 0.0000  4 Ir 2.34
6 P 0.5000 0.0000 0.6304  3 Ir 2.37-2.39, 2 Fe 2.39
7 P 0.0000 0.5000 0.3696  3 Ir 2.37-2.39, 2 Fe 2.39
8 Ir 0.0000 0.0000 0.5000  4 P 2.39
9 Ir 0.5000 0.0000 0.8810  5 P 2.34-2.37
10 Ir 0.0000 0.5000 0.1190  5 P 2.34-2.37

Values from the calculation:
DFT formation energy, kcal/mol of atoms: -21.7
Electronic total energy, eV per atom: -7.53
Crystal system: tetragonal



# 6
DyPaFeIr | PBE | relaxed

Lattice parameters (Å, degrees): 4.8286 4.8286 4.8286 60.00 60.00 60.00
Last column: nearest neighbours and their distance in Å.
Positions (direct):
1 Fe 0.0000 0.0000 0.0000  4 Dy 2.96, 4 Pa 2.96
2 Pa 0.7500 0.7500 0.7500  4 Fe 2.96, 4 Ir 2.96
3 Dy 0.2500 0.2500 0.2500  4 Fe 2.96, 4 Ir 2.96
4 Ir 0.5000 0.5000 0.5000  4 Pa 2.96, 4 Dy 2.96

Values from the calculation:
DFT formation energy, kcal/mol of atoms: -7.3
Electronic total energy, eV per atom: -8.17
Crystal system: cubic



Q: What is the electronic total energy in the fifth record?
A: -7.53 eV per atom



Please write out number 3 again, unchanged.
Dy3FeIr8 | PBE | relaxed

Lattice parameters (Å, degrees): 5.3147 5.3147 9.1953 73.20 73.20 60.00
Last column: nearest neighbours and their distance in Å.
Positions (direct):
1 Dy 0.6236 0.6236 0.1293  12 Ir 3.12-3.14, 4 Dy 3.33-3.34
2 Dy 0.0069 0.0069 0.9792  12 Ir 3.02-3.33, 3 Dy 3.33, 1 Fe 3.36
3 Dy 0.4951 0.4951 0.5147  12 Ir 3.01-3.15, 3 Fe 3.14, 1 Dy 3.34
4 Fe 0.1363 0.1363 0.5910  6 Ir 2.80-3.07, 3 Dy 3.14
5 Ir 0.5617 0.0633 0.8134  6 Ir 2.62-2.68
6 Ir 0.0603 0.5592 0.3201  6 Ir 2.65-2.68, 1 Fe 2.80
7 Ir 0.5617 0.5617 0.8134  6 Ir 2.62-2.68
8 Ir 0.0603 0.0603 0.3201  6 Ir 2.65-2.68, 1 Fe 2.80
9 Ir 0.8105 0.8105 0.5684  6 Ir 2.62-2.65
10 Ir 0.3111 0.3111 0.0668  6 Ir 2.68
11 Ir 0.0633 0.5617 0.8134  6 Ir 2.62-2.68
12 Ir 0.5592 0.0603 0.3201  6 Ir 2.65-2.68, 1 Fe 2.80

Values from the calculation:
DFT formation energy, kcal/mol of atoms: -11.8
Electronic total energy, eV per atom: -8.28
Crystal system: trigonal



Q: Which of these has the lowest DFT formation energy?
A: Dy2FeP4Ir3



Q: Among the records above, which one has the lowest DFT formation energy?
A: Dy2FeP4Ir3